An optimized crystal structure of Nd3NiB2Pt9, computed with GGA-PBE.

Output
- formation energy from the elements (eV/atom) = -0.75
- magnetization (μB/f.u.) = 0.000
- space-group type = No. 164
- VASP energy (eV/atom) = -6.600

a b c (Å): 5.7886 5.7886 9.2451
angles (deg): 90.00 90.00 120.00
Closest atoms and distances in Å follow each position.
Atoms (fractional coordinates):
1 Nd 0.0000 0.0000 0.0000  12 Pt 2.89-3.11
2 Nd 0.3333 0.6667 0.5985  9 Pt 3.08-3.35
3 Nd 0.6667 0.3333 0.4015  9 Pt 3.08-3.35
4 Ni 0.0000 0.0000 0.5000  6 Pt 2.56
5 B 0.3333 0.6667 0.1515  6 Pt 2.12-2.18
6 B 0.6667 0.3333 0.8485  6 Pt 2.12-2.18
7 Pt 0.0000 0.5000 0.0000  2 B 2.18
8 Pt 0.1629 0.3257 0.2867  1 B 2.12
9 Pt 0.1629 0.8371 0.2867  1 B 2.12
10 Pt 0.3257 0.1629 0.7133  1 B 2.12
11 Pt 0.5000 0.0000 0.0000  2 B 2.18
12 Pt 0.5000 0.5000 0.0000  2 B 2.18
13 Pt 0.6743 0.8371 0.2867  1 B 2.12
14 Pt 0.8371 0.1629 0.7133  1 B 2.12
15 Pt 0.8371 0.6743 0.7133  1 B 2.12